Entry 1:
ZnCd2In6 | PBE-GGA | relaxed

Results
Raw total energy ... -2.096 eV per atom
E_form ... 0.074 eV/atom

Geometry as CIF:
```
data_ZnCd2In6
_cell_length_a 7.0879
_cell_length_b 7.0879
_cell_length_c 9.4225
_cell_angle_alpha 90.80
_cell_angle_beta 90.80
_cell_angle_gamma 83.92
_space_group_name_H-M_alt 'P 1'
_space_group_IT_number 1
loop_
_space_group_symop_operation_xyz
'x,y,z'
loop_
_atom_site_label
_atom_site_type_symbol
_atom_site_fract_x
_atom_site_fract_y
_atom_site_fract_z
_atom_site_occupancy
Zn1 Zn 0.1932 0.8068 0.7500 1
Zn2 Zn 0.8068 0.1932 0.2500 1
Cd1 Cd 0.2597 0.4112 0.6615 1
Cd2 Cd 0.4112 0.2597 0.1615 1
Cd3 Cd 0.5888 0.7403 0.8385 1
Cd4 Cd 0.7403 0.5888 0.3385 1
In1 In 0.1114 0.1384 0.9056 1
In2 In 0.1384 0.1114 0.4056 1
In3 In 0.1631 0.5678 0.3381 1
In4 In 0.2118 0.5591 0.9797 1
In5 In 0.4322 0.8369 0.1619 1
In6 In 0.4409 0.7882 0.5203 1
In7 In 0.5591 0.2118 0.4797 1
In8 In 0.5678 0.1631 0.8381 1
In9 In 0.7882 0.4409 0.0203 1
In10 In 0.8369 0.4322 0.6619 1
In11 In 0.8616 0.8886 0.5944 1
In12 In 0.8886 0.8616 0.0944 1
```

Entry 2:
ZnCd2In | PBE-GGA | relaxed

Results
Excess energy over the best structure of this formula in the dataset ... 43 meV/atom
Raw total energy ... -1.364 eV per atom
E_form ... 0.097 eV/atom

Geometry as CIF:
```
data_ZnCd2In
_cell_length_a 5.0460
_cell_length_b 5.0460
_cell_length_c 5.0460
_cell_angle_alpha 60.00
_cell_angle_beta 60.00
_cell_angle_gamma 60.00
_space_group_name_H-M_alt 'P 1'
_space_group_IT_number 1
loop_
_space_group_symop_operation_xyz
'x,y,z'
loop_
_atom_site_label
_atom_site_type_symbol
_atom_site_fract_x
_atom_site_fract_y
_atom_site_fract_z
_atom_site_occupancy
Zn1 Zn 0.0000 0.0000 0.0000 1
Cd1 Cd 0.2500 0.2500 0.2500 1
Cd2 Cd 0.5000 0.5000 0.5000 1
In1 In 0.7500 0.7500 0.7500 1
```

Entry 3:
ZnCd2In2 | PBE-GGA | relaxed

Results
Excess energy over the best structure of this formula in the dataset ... 114 meV/atom
Raw total energy ... -1.545 eV per atom
E_form ... 0.171 eV/atom

Geometry as CIF:
```
data_ZnCd2In2
_cell_length_a 8.5176
_cell_length_b 8.5176
_cell_length_c 3.5602
_cell_angle_alpha 90.00
_cell_angle_beta 90.00
_cell_angle_gamma 90.00
_space_group_name_H-M_alt 'P 1'
_space_group_IT_number 1
loop_
_space_group_symop_operation_xyz
'x,y,z'
loop_
_atom_site_label
_atom_site_type_symbol
_atom_site_fract_x
_atom_site_fract_y
_atom_site_fract_z
_atom_site_occupancy
Zn1 Zn 0.0000 0.0000 0.0000 1
Zn2 Zn 0.5000 0.5000 0.0000 1
Cd1 Cd 0.1255 0.3745 0.5000 1
Cd2 Cd 0.3745 0.8745 0.5000 1
Cd3 Cd 0.6255 0.1255 0.5000 1
Cd4 Cd 0.8745 0.6255 0.5000 1
In1 In 0.1764 0.6764 0.0000 1
In2 In 0.3236 0.1764 0.0000 1
In3 In 0.6764 0.8236 0.0000 1
In4 In 0.8236 0.3236 0.0000 1
```